(1)
VASP calculation (PBE-GGA) on an optimized crystal structure of CeNp2CoN4.

As for the uncorrected formation energy: -1063 meV/atom. The total DFT energy (no corrections) comes out at -10.09 eV per atom.

Lattice parameters (Å, degrees): 3.4204 11.2151 11.3358 90.00 90.00 90.00
Last column: nearest neighbours and their distance in Å.
Space group Cmcm (No. 63)
Unique sites:
Ce  0.0000  0.1058  0.2500 (multiplicity 4)  6 N 2.48-2.70
Np  0.0000  0.3695  0.0576 (multiplicity 8)  6 N 2.27-2.38
Co  0.0000  0.1565  0.7500 (multiplicity 4)  4 N 1.97-2.05
N  0.0000  0.0000  0.0000 (multiplicity 4)  4 Np 2.34
N  0.0000  0.2667  0.6150 (multiplicity 8)  1 Co 1.97
N  0.0000  0.4450  0.2500 (multiplicity 4)  2 Co 2.05

(2)
VASP calculation (PBE-GGA) on an optimized crystal structure of Ce2NpCo2N6.

As for the uncorrected formation energy: 332 meV/atom. The total DFT energy (no corrections) comes out at -7.76 eV per atom.

Lattice parameters (Å, degrees): 5.1713 5.1713 22.1656 90.00 90.00 120.00
Last column: nearest neighbours and their distance in Å.
Space group R-3m (No. 166, hexagonal axes)
Unique sites:
Ce  0.0000  0.0000  0.1362 (multiplicity 6)  9 N 2.44-2.67
Np  0.0000  0.0000  0.0000 (multiplicity 3)  2 Ce 3.02
Co  0.0000  0.0000  0.4154 (multiplicity 6)  3 N 1.68
N  0.0204  0.5102  0.8927 (multiplicity 18)  1 Co 1.68

(3)
VASP calculation (PBE-GGA) on an optimized crystal structure of CeCo2PN.

As for the uncorrected formation energy: -981 meV/atom. The total DFT energy (no corrections) comes out at -7.76 eV per atom.

Lattice parameters (Å, degrees): 3.5487 10.8554 6.6625 90.00 90.00 90.00
Last column: nearest neighbours and their distance in Å.
Space group Cmcm (No. 63)
Unique sites:
Ce  0.0000  0.0412  0.2500 (multiplicity 4)  4 N 2.47
Co  0.0000  0.3272  0.0548 (multiplicity 8)  1 N 1.91
P  0.0000  0.2294  0.7500 (multiplicity 4)  6 Co 2.28-2.29
N  0.0000  0.5000  0.0000 (multiplicity 4)  2 Co 1.91

(4)
VASP calculation (PBE-GGA) on an optimized crystal structure of CeCoPN.

As for the uncorrected formation energy: -1214 meV/atom. The total DFT energy (no corrections) comes out at -7.91 eV per atom.

Lattice parameters (Å, degrees): 3.7284 3.7284 7.8974 90.00 90.00 90.00
Last column: nearest neighbours and their distance in Å.
Space group P4/nmm (No. 129, origin choice 2)
Unique sites:
Ce  0.2500  0.2500  0.1683 (multiplicity 2)  5 N 2.38-2.65
Co  0.2500  0.7500  0.5000 (multiplicity 2)  4 P 2.20
P  0.2500  0.2500  0.6482 (multiplicity 2)  1 N 1.73
N  0.2500  0.2500  0.8669 (multiplicity 2)  1 P 1.73

(5)
VASP calculation (PBE-GGA) on an optimized crystal structure of Ce2CoPN5.

As for the uncorrected formation energy: -721 meV/atom. The total DFT energy (no corrections) comes out at -8.06 eV per atom.

Lattice parameters (Å, degrees): 3.1517 13.6255 9.9063 90.00 90.00 90.00
Last column: nearest neighbours and their distance in Å.
Space group Cmc2_1 (No. 36)
Unique sites:
Ce  0.0000  0.1208  0.0000 (multiplicity 4)  3 N 2.30-2.32
Ce  0.0000  0.1417  0.6409 (multiplicity 4)  7 N 2.37-2.54
Co  0.0000  0.2123  0.3628 (multiplicity 4)  6 N 1.97-2.10
P  0.0000  0.4335  0.7680 (multiplicity 4)  2 N 1.62-1.66
N  0.0000  0.0585  0.3580 (multiplicity 4)  2 P 1.81
N  0.0000  0.2891  0.9896 (multiplicity 4)  2 Co 2.02
N  0.0000  0.3151  0.7286 (multiplicity 4)  1 P 1.66
N  0.0000  0.3549  0.3321 (multiplicity 4)  1 Co 1.97
N  0.0000  0.4960  0.6294 (multiplicity 4)  1 P 1.62

(6)
VASP calculation (PBE-GGA) on an optimized crystal structure of Ce2CoPN.

As for the uncorrected formation energy: -1181 meV/atom. The total DFT energy (no corrections) comes out at -7.72 eV per atom.

Lattice parameters (Å, degrees): 6.0973 3.8592 7.7530 90.00 106.79 90.00
Last column: nearest neighbours and their distance in Å.
Space group P2_1/m (No. 11)
Unique sites:
Ce  0.2162  0.2500  0.3877 (multiplicity 2)  2 N 2.55
Ce  0.2312  0.2500  0.9638 (multiplicity 2)  1 N 2.28
Co  0.4795  0.7500  0.2472 (multiplicity 2)  1 N 1.89
P  0.3121  0.7500  0.6907 (multiplicity 2)  2 Co 2.28
N  0.1563  0.7500  0.1642 (multiplicity 2)  1 Co 1.89

(7)
VASP calculation (PBE-GGA) on an optimized crystal structure of Ce6CoPb2N.

As for the uncorrected formation energy: -510 meV/atom. The total DFT energy (no corrections) comes out at -6.36 eV per atom.

Lattice parameters (Å, degrees): 9.9330 10.2307 10.2589 90.00 90.00 90.00
Last column: nearest neighbours and their distance in Å.
Space group Fmmm (No. 69)
Unique sites:
Ce  0.0000  0.0000  0.2366 (multiplicity 8)  1 N 2.43, 1 Co 2.70
Ce  0.0000  0.2375  0.0000 (multiplicity 8)  1 N 2.43, 1 Co 2.69
Ce  0.2466  0.0000  0.0000 (multiplicity 8)  1 N 2.45, 1 Co 2.52
Co  0.0000  0.0000  0.5000 (multiplicity 4)  6 Ce 2.52-2.70
Pb  0.2500  0.2500  0.2500 (multiplicity 8)  12 Ce 3.57-3.62
N  0.0000  0.0000  0.0000 (multiplicity 4)  6 Ce 2.43-2.45

(8)
VASP calculation (PBE-GGA) on an optimized crystal structure of CePm2CoN4.

As for the uncorrected formation energy: -960 meV/atom. The total DFT energy (no corrections) comes out at -7.94 eV per atom.

Lattice parameters (Å, degrees): 3.4371 11.5054 11.8696 90.00 90.00 90.00
Last column: nearest neighbours and their distance in Å.
Space group Cmcm (No. 63)
Unique sites:
Ce  0.0000  0.1068  0.2500 (multiplicity 4)  6 N 2.54-2.62
Pm  0.0000  0.3681  0.0513 (multiplicity 8)  6 N 2.37-2.62
Co  0.0000  0.1588  0.7500 (multiplicity 4)  4 N 1.91-2.03
N  0.0000  0.0000  0.0000 (multiplicity 4)  4 Pm 2.37
N  0.0000  0.2780  0.6383 (multiplicity 8)  1 Co 1.91
N  0.0000  0.4355  0.2500 (multiplicity 4)  2 Co 2.03

(9)
VASP calculation (PBE-GGA) on an optimized crystal structure of CePu2CoN4.

As for the uncorrected formation energy: -1081 meV/atom. The total DFT energy (no corrections) comes out at -10.46 eV per atom.

Lattice parameters (Å, degrees): 3.4117 11.2182 11.4232 90.00 90.00 90.00
Last column: nearest neighbours and their distance in Å.
Space group Cmcm (No. 63)
Unique sites:
Ce  0.0000  0.1050  0.2500 (multiplicity 4)  6 N 2.46-2.69
Pu  0.0000  0.3687  0.0567 (multiplicity 8)  6 N 2.30-2.39
Co  0.0000  0.1559  0.7500 (multiplicity 4)  4 N 1.96-2.06
N  0.0000  0.0000  0.0000 (multiplicity 4)  4 Pu 2.34
N  0.0000  0.2670  0.6177 (multiplicity 8)  1 Co 1.96
N  0.0000  0.4466  0.2500 (multiplicity 4)  2 Co 2.06

(10)
VASP calculation (PBE-GGA) on an optimized crystal structure of CePuCoN3.

As for the uncorrected formation energy: -926 meV/atom. The total DFT energy (no corrections) comes out at -9.65 eV per atom.

Lattice parameters (Å, degrees): 7.1048 3.3694 7.1459 90.00 98.85 90.00
Last column: nearest neighbours and their distance in Å.
Space group P2_1/m (No. 11)
Unique sites:
Ce  0.1648  0.2500  0.2031 (multiplicity 2)  7 N 2.42-2.66
Pu  0.3500  0.7500  0.8205 (multiplicity 2)  5 N 2.24-2.36
Co  0.0958  0.2500  0.5784 (multiplicity 2)  4 N 1.90-1.99
N  0.1274  0.2500  0.8601 (multiplicity 2)  1 Co 1.99
N  0.1745  0.7500  0.4784 (multiplicity 2)  3 Co 1.90-1.95
N  0.4152  0.7500  0.1380 (multiplicity 2)  3 Pu 2.24-2.36

(11)
VASP calculation (PBE-GGA) on an optimized crystal structure of Ce2CoReN5.

As for the uncorrected formation energy: -661 meV/atom. The total DFT energy (no corrections) comes out at -8.78 eV per atom.

Lattice parameters (Å, degrees): 3.3035 12.7868 10.0731 90.00 90.00 90.00
Last column: nearest neighbours and their distance in Å.
Space group Cmc2_1 (No. 36)
Unique sites:
Ce  0.0000  0.1047  0.0000 (multiplicity 4)  6 N 2.34-2.54
Ce  0.0000  0.1454  0.6248 (multiplicity 4)  7 N 2.39-2.52
Co  0.0000  0.4713  0.7630 (multiplicity 4)  4 N 1.89-2.01
Re  0.0000  0.2000  0.3335 (multiplicity 4)  4 N 1.91-2.13
N  0.0000  0.0521  0.3627 (multiplicity 4)  1 Re 1.91, 2 Co 1.96
N  0.0000  0.2845  0.9591 (multiplicity 4)  2 Re 2.09, 1 Ce 2.34
N  0.0000  0.3245  0.6909 (multiplicity 4)  1 Co 2.01, 2 Re 2.21
N  0.0000  0.3657  0.3127 (multiplicity 4)  1 Re 2.13, 1 Co 2.14
N  0.0000  0.4867  0.0834 (multiplicity 4)  1 Co 1.89

(12)
VASP calculation (PBE-GGA) on an optimized crystal structure of CeCo2ReN4.

As for the uncorrected formation energy: -416 meV/atom. The total DFT energy (no corrections) comes out at -8.65 eV per atom.

Lattice parameters (Å, degrees): 5.1904 5.1904 6.7477 90.00 90.00 90.00
Last column: nearest neighbours and their distance in Å.
Space group I-42m (No. 121)
Unique sites:
Ce  0.0000  0.0000  0.0000 (multiplicity 2)  8 N 2.56
Co  0.0000  0.5000  0.2500 (multiplicity 4)  4 N 1.93
Re  0.0000  0.0000  0.5000 (multiplicity 2)  4 N 1.91
N  0.1955  0.1955  0.3140 (multiplicity 8)  1 Re 1.91, 2 Co 1.93